(1)
A relaxed CaTbPd3 crystal. Source: the Alexandria database, functional GGA-PBE.

Properties
**VASP energy**: -5.167 eV per atom
**Volume**: 20.8 A^3/atom
**SG**: P2_1/c
**Formation energy from the elements**: -70 kJ/mol of atoms
**Magnetization**: 0.00 μB per formula unit
**Crystal system**: monoclinic

Unit cell a=8.290 b=7.109 c=7.755 alpha=114.47 beta=90.00 gamma=90.00
Fractional coordinates of all 20 atoms:
Ca 0.928 0.684 0.209
Ca 0.072 0.316 0.791
Ca 0.428 0.316 0.291
Ca 0.572 0.684 0.709
Tb 0.297 0.877 0.460
Tb 0.703 0.123 0.540
Tb 0.797 0.123 0.040
Tb 0.203 0.877 0.960
Pd 0.043 0.106 0.374
Pd 0.957 0.894 0.626
Pd 0.543 0.894 0.126
Pd 0.457 0.106 0.874
Pd 0.611 0.678 0.331
Pd 0.389 0.322 0.669
Pd 0.111 0.322 0.169
Pd 0.889 0.678 0.831
Pd 0.166 0.562 0.569
Pd 0.834 0.438 0.431
Pd 0.666 0.438 0.931
Pd 0.334 0.562 0.069

***

(2)
A relaxed RbPRhO2 crystal. Source: the Alexandria database, functional GGA-PBE.

Properties
**VASP energy**: -4.791 eV per atom
**Volume**: 16.7 A^3/atom
**SG**: P4/mmm
**Magnetization**: 1.45 μB per formula unit
**Formation energy without anion corrections**: -30 kJ/mol of formula units
**Crystal system**: tetragonal

Unit cell a=4.339 b=4.339 c=4.440 alpha=90.00 beta=90.00 gamma=90.00
Site moments in Bohr magnetons follow the coordinates.
Fractional coordinates of all 5 atoms:
P 0.000 0.000 0.500  0.06
Rh 0.000 0.000 0.000  0.59
O 0.000 0.500 0.000  0.29
O 0.500 0.000 0.000  0.29
Rb 0.500 0.500 0.500  0.01

***

(3)
A relaxed In5Ga2Ag6 crystal. Source: the Alexandria database, functional GGA-PBE.

Properties
**VASP energy**: -2.785 eV per atom
**Volume**: 22.2 A^3/atom
**SG**: C2/c
**Formation energy from the elements**: 5 kJ/mol of atoms
**Magnetization**: 0.00 μB per formula unit
**Crystal system**: monoclinic

Unit cell a=7.513 b=7.513 c=11.226 alpha=88.14 beta=88.14 gamma=65.78
Fractional coordinates of all 26 atoms:
In 0.659 0.282 0.967
In 0.718 0.341 0.533
In 0.341 0.718 0.033
In 0.282 0.659 0.467
In 0.639 0.015 0.777
In 0.985 0.361 0.723
In 0.361 0.985 0.223
In 0.015 0.639 0.277
In 0.320 0.680 0.750
In 0.680 0.320 0.250
Ga 0.310 0.017 0.550
Ga 0.983 0.690 0.950
Ga 0.690 0.983 0.450
Ga 0.017 0.310 0.050
Ag 0.975 0.958 0.627
Ag 0.042 0.025 0.873
Ag 0.025 0.042 0.373
Ag 0.958 0.975 0.127
Ag 0.357 0.332 0.630
Ag 0.668 0.643 0.870
Ag 0.643 0.668 0.370
Ag 0.332 0.357 0.130
Ag 0.683 0.716 0.618
Ag 0.284 0.317 0.882
Ag 0.317 0.284 0.382
Ag 0.716 0.683 0.118

***

(4)
A relaxed LiCeIrRh crystal. Source: the Alexandria database, functional GGA-PBE.

Properties
**VASP energy**: -6.581 eV per atom
**Volume**: 16.8 A^3/atom
**SG**: Pmmm
**Formation energy from the elements**: -55 kJ/mol of atoms
**Magnetization**: 0.00 μB per formula unit
**Crystal system**: orthorhombic

Unit cell a=3.773 b=4.232 c=4.206 alpha=90.00 beta=90.00 gamma=90.00
Fractional coordinates of all 4 atoms:
Li 0.000 0.000 0.000
Ce 0.000 0.500 0.500
Ir 0.500 0.500 0.000
Rh 0.500 0.000 0.500

***

(5)
A relaxed CoCu2Sb crystal. Source: the Alexandria database, functional GGA-PBE.

Properties
**VASP energy**: -4.592 eV per atom
**Volume**: 14.7 A^3/atom
**SG**: C2/m
**Magnetization**: 0.54 μB per formula unit
**Formation energy without anion corrections**: 102 kJ/mol of formula units
**Crystal system**: monoclinic

Unit cell a=5.347 b=5.347 c=2.995 alpha=73.81 beta=73.81 gamma=122.48
Site moments in Bohr magnetons follow the coordinates.
Fractional coordinates of all 4 atoms:
Co 0.000 0.500 0.500  0.57
Cu 0.000 0.000 0.000  0.00
Cu 0.500 0.500 0.000  0.00
Sb 0.500 0.000 0.500  0.01

***

(6)
A relaxed Zn2InI8 crystal. Source: the Alexandria database, functional GGA-PBE.

Properties
**VASP energy**: -2.015 eV per atom
**Volume**: 41.6 A^3/atom
**SG**: C2/m
**Magnetization**: 0.00 μB per formula unit
**Formation energy without anion corrections**: -432 kJ/mol of formula units
**Crystal system**: monoclinic

Unit cell a=7.170 b=8.969 c=8.969 alpha=52.49 beta=91.23 gamma=91.23
Fractional coordinates of all 11 atoms:
Zn 0.615 0.163 0.163
Zn 0.385 0.837 0.837
In 0.000 0.000 0.000
I 0.238 0.671 0.175
I 0.762 0.825 0.329
I 0.243 0.162 0.162
I 0.757 0.838 0.838
I 0.238 0.175 0.671
I 0.762 0.329 0.825
I 0.711 0.319 0.319
I 0.289 0.681 0.681

***

(7)
A relaxed Ce2Ge4Ru5 crystal. Source: the Alexandria database, functional GGA-PBE.

Properties
**VASP energy**: -7.431 eV per atom
**Volume**: 18.5 A^3/atom
**SG**: Fmmm
**Formation energy from the elements**: -44 kJ/mol of atoms
**Magnetization**: 1.05 μB per formula unit
**Crystal system**: orthorhombic

Unit cell a=5.813 b=5.711 c=7.675 alpha=78.89 beta=67.75 gamma=59.41
Site moments in Bohr magnetons follow the coordinates.
Fractional coordinates of all 11 atoms:
Ce 0.879 0.000 0.242  0.60
Ce 0.121 0.000 0.758  0.60
Ge 0.478 0.309 0.736  0.00
Ge 0.522 0.691 0.264  0.00
Ge 0.214 0.309 0.264  0.00
Ge 0.786 0.691 0.736  0.00
Ru 0.500 0.000 0.000  -0.07
Ru 0.000 0.500 0.000  -0.14
Ru 0.500 0.500 0.000  -0.14
Ru 0.250 0.500 0.500  -0.02
Ru 0.750 0.500 0.500  -0.02

***

(8)
A relaxed VIn2Sb2 crystal. Source: the Alexandria database, functional GGA-PBE.

Properties
**VASP energy**: -4.366 eV per atom
**Volume**: 27.2 A^3/atom
**SG**: P4/mbm
**Magnetization**: 2.71 μB per formula unit
**Formation energy without anion corrections**: 98 kJ/mol of formula units
**Crystal system**: tetragonal

Unit cell a=7.078 b=7.078 c=5.430 alpha=90.00 beta=90.00 gamma=90.00
Site moments in Bohr magnetons follow the coordinates.
Fractional coordinates of all 10 atoms:
Sb 0.355 0.855 0.000  -0.05
Sb 0.855 0.645 0.000  -0.05
Sb 0.645 0.145 0.000  -0.05
Sb 0.145 0.355 0.000  -0.05
In 0.180 0.680 0.500  0.00
In 0.680 0.820 0.500  0.00
In 0.820 0.320 0.500  0.00
In 0.320 0.180 0.500  0.00
V 0.000 0.000 0.000  2.35
V 0.500 0.500 0.000  2.35